Entry 1:
Entry from Alexandria: crystalline Zr4Sc8Cd at its relaxed geometry (PBE-GGA).

Structure (POSCAR):
```
Zr4Sc8Cd
1.0
3.200 -0.055 0.042
1.834 12.891 -0.992
-1.729 -1.922 7.544
Cd Zr Sc
1 4 8
Direct
0.516 0.002 0.967
0.671 0.528 0.805
0.397 0.826 0.551
0.635 0.178 0.382
0.360 0.475 0.129
0.200 0.949 0.281
0.977 0.615 0.500
0.084 0.776 0.878
0.257 0.296 0.745
0.775 0.707 0.189
0.947 0.227 0.056
0.832 0.054 0.652
0.054 0.389 0.433
```

Its space-group type is No. 12. The formation energy is -12 kJ/mol of formula units.


Entry 2:
Entry from Alexandria: crystalline PmGe2I8 at its relaxed geometry (PBE-GGA).

Structure (POSCAR):
```
PmGe2I8
1.0
7.729 0.660 0.501
0.915 8.868 -0.599
0.915 1.811 8.702
I Ge Pm
8 2 1
Direct
0.843 0.618 0.618
0.788 0.091 0.728
0.157 0.382 0.382
0.212 0.272 0.909
0.715 0.207 0.207
0.285 0.793 0.793
0.788 0.728 0.091
0.212 0.909 0.272
0.656 0.809 0.809
0.344 0.191 0.191
0.000 0.000 0.000
```

The value obtained for the uncorrected formation energy is -0.611 eV per atom. Its space-group type is No. 12.


Entry 3:
Entry from Alexandria: crystalline Cr2InSnSe at its relaxed geometry (PBE-GGA).

Structure (POSCAR):
```
Cr2InSnSe
1.0
5.156 0.000 0.000
0.000 5.506 0.000
0.000 0.000 5.156
Cr In Sn Se
2 1 1 1
Direct
0.000 0.000 0.500
0.500 0.000 0.000
0.000 0.000 0.000
0.000 0.500 0.000
0.500 0.500 0.500
```

The value obtained for the uncorrected formation energy is 1.100 eV per atom. Its space-group type is No. 123. The distance to the lowest polymorph of the same formula comes out at 208.8 meV per atom.


| no. | magnetic moment (Bohr magnetons per cell) |
| --- | --- |
| 1 | 0.0 |
| 2 | 0.0 |
| 3 | 8.1 |